This record from the Alexandria database describes crystalline K2NaPb2 at its relaxed geometry. The functional is GGA-PBE.

Structure (CIF):
```
data_K2NaPb2
_space_group_name_H-M_alt 'P 1'
_space_group_IT_number 1
_cell_length_a 6.798
_cell_length_b 6.995
_cell_length_c 10.151
_cell_angle_alpha 99.82
_cell_angle_beta 90.00
_cell_angle_gamma 119.07
loop_
_space_group_symop_operation_xyz
'x,y,z'
loop_
_atom_site_label
_atom_site_fract_x
_atom_site_fract_y
_atom_site_fract_z
Na1 0.137 0.000 0.750
K1 0.168 0.685 0.355
K2 0.483 0.315 0.145
Pb1 0.323 0.267 0.488
Pb2 0.677 0.733 0.512
Na2 0.863 0.000 0.250
K3 0.832 0.315 0.645
Pb3 0.944 0.267 0.988
K4 0.517 0.685 0.855
Pb4 0.056 0.733 0.012
```

Computed properties:
Total DFT energy (no corrections) in eV/cell: -22.7
Calculated density in g/cm3: 4.1
Space-group type: C2/c, No. 15
Calculated formation energy in meV per atom: -86.3
Distance to the lowest polymorph of the same formula in meV per atom: 0.0

This record from the Alexandria database describes crystalline KNa4Pb2 at its relaxed geometry. The functional is GGA-PBE.

Structure (CIF):
```
data_KNa4Pb2
_space_group_name_H-M_alt 'P 1'
_space_group_IT_number 1
_cell_length_a 5.008
_cell_length_b 6.294
_cell_length_c 10.155
_cell_angle_alpha 90.00
_cell_angle_beta 75.72
_cell_angle_gamma 90.00
loop_
_space_group_symop_operation_xyz
'x,y,z'
loop_
_atom_site_label
_atom_site_fract_x
_atom_site_fract_y
_atom_site_fract_z
Na1 0.392 0.500 0.216
K1 0.500 0.000 0.000
Na2 0.822 0.000 0.356
Pb1 0.204 0.500 0.592
Pb2 0.796 0.500 0.408
Na3 0.608 0.500 0.784
Na4 0.178 0.000 0.644
```

Computed properties:
Total DFT energy (no corrections) in eV/cell: -13.5
Calculated density in g/cm3: 2.9
Space-group type: Cmmm, No. 65
Calculated formation energy in meV per atom: 42.4
Distance to the lowest polymorph of the same formula in meV per atom: 126.6

This record from the Alexandria database describes crystalline KNaPb3 at its relaxed geometry. The functional is GGA-PBE.

Structure (CIF):
```
data_KNaPb3
_space_group_name_H-M_alt 'P 1'
_space_group_IT_number 1
_cell_length_a 6.431
_cell_length_b 7.174
_cell_length_c 8.503
_cell_angle_alpha 114.95
_cell_angle_beta 90.00
_cell_angle_gamma 90.00
loop_
_space_group_symop_operation_xyz
'x,y,z'
loop_
_atom_site_label
_atom_site_fract_x
_atom_site_fract_y
_atom_site_fract_z
Pb1 0.250 0.388 0.336
Na1 0.000 0.000 0.000
Na2 0.500 0.000 0.000
Pb2 0.250 0.948 0.336
Pb3 0.750 0.052 0.664
Pb4 0.250 0.821 0.643
K1 0.250 0.398 0.796
Pb5 0.750 0.179 0.357
K2 0.750 0.602 0.204
Pb6 0.750 0.612 0.664
```

Computed properties:
Total DFT energy (no corrections) in eV/cell: -28.0
Calculated density in g/cm3: 6.4
Space-group type: Cmcm, No. 63
Calculated formation energy in meV per atom: -88.4
Distance to the lowest polymorph of the same formula in meV per atom: 0.0